# CsLi2CeCl6 (PBE, relaxed)
# spin magnetization	1.000	μB/cell
# DFT total energy	-4.1834	eV per atom
data_CsLi2CeCl6
_chemical_formula_sum 'Cs1 Li2 Ce1 Cl6'
_cell_length_a 6.7860
_cell_length_b 6.7867
_cell_length_c 9.2040
_cell_angle_alpha 68.53
_cell_angle_beta 68.40
_cell_angle_gamma 60.07
_symmetry_space_group_name_H-M 'P -1'
_symmetry_Int_Tables_number 2
_symmetry_space_group_name_Hall '-P 1'
loop_
_atom_site_label
_atom_site_type_symbol
_atom_site_fract_x
_atom_site_fract_y
_atom_site_fract_z
Cs1 Cs 0.0000 0.0000 0.0000
Li1 Li 0.1714 0.1727 0.4829
Ce1 Ce 0.5000 0.5000 0.5000
Cl1 Cl 0.0939 0.4442 0.6744
Cl2 Cl 0.2115 0.9048 0.3263
Cl3 Cl 0.4438 0.7886 0.6740